1.
GdSc2Pt | PBE | relaxed

Unit cell a=3.382 b=3.382 c=8.066 alpha=90.00 beta=90.00 gamma=90.00
Site moments in Bohr magnetons follow the coordinates.
Sites, in units of the cell vectors:
Pt: 0.500 0.500 0.000  0.01
Sc: 0.000 0.000 0.808  0.08
Sc: 0.000 0.000 0.192  0.08
Gd: 0.500 0.500 0.500  7.31

**DOS at the Fermi energy**: 1.290 states/eV/atom

2.
Gd2ScPt | PBE | relaxed

Unit cell a=3.650 b=3.650 c=7.514 alpha=90.00 beta=90.00 gamma=90.00
Site moments in Bohr magnetons follow the coordinates.
Sites, in units of the cell vectors:
Pt: 0.500 0.500 0.000  0.02
Gd: 0.000 0.000 0.217  -7.05
Gd: 0.000 0.000 0.783  -7.05
Sc: 0.500 0.500 0.500  -0.15

**DOS at the Fermi energy**: 1.162 states/eV/atom

3.
GdScPt2 | PBE | relaxed

Unit cell a=3.347 b=3.347 c=7.078 alpha=90.00 beta=90.00 gamma=90.00
Site moments in Bohr magnetons follow the coordinates.
Sites, in units of the cell vectors:
Sc: 0.500 0.500 0.000  0.04
Pt: 0.000 0.000 0.222  0.00
Pt: 0.000 0.000 0.778  0.00
Gd: 0.500 0.500 0.500  7.01

**DOS at the Fermi energy**: 0.727 states/eV/atom

Number 1: magnetic moment 7.98 μB/cell, E_form -0.5946 eV/atom. Number 2: magnetic moment 14.62 μB/cell, E_form -0.5440 eV/atom. Number 3: magnetic moment 7.19 μB/cell, E_form -1.1791 eV/atom.